Entry 1:
The following is a PBE-GGA calculation of Rb3SrCu after structural relaxation, from Alexandria via LeMat-Bulk.

a = 8.1796 Å, b = 8.1796 Å, c = 8.1796 Å
α = 90.00°, β = 90.00°, γ = 90.00°
Last column: nearest neighbours and their distance in Å.
Positions (direct):
Rb1 0.0000 0.5000 0.0000  2 Sr 4.09
Rb2 0.0000 0.0000 0.5000  2 Sr 4.09
Rb3 0.5000 0.0000 0.0000  2 Sr 4.09
Sr1 0.0000 0.0000 0.0000  6 Rb 4.09
Cu1 0.5000 0.5000 0.5000  12 Rb 5.78

M_tot	0.0000	μB per atom
calculated volume	109.5	Å³ per atom
formation enthalpy at 0 K	0.857	eV/atom
energy relative to the lowest polymorph listed for this composition	2.590	eV per formula unit


Entry 2:
The following is a PBE-GGA calculation of LaAlIrBr2 after structural relaxation, from Alexandria via LeMat-Bulk.

a = 5.9081 Å, b = 5.2391 Å, c = 5.9081 Å
α = 90.00°, β = 90.00°, γ = 90.00°
Last column: nearest neighbours and their distance in Å.
Positions (direct):
Br1 0.0000 0.0000 0.5000  2 La 2.95
Br2 0.5000 0.0000 0.0000  2 La 2.95
Al1 0.5000 0.5000 0.5000  8 Br 3.95, 4 Ir 4.18
La1 0.0000 0.0000 0.0000  2 Ir 2.62
Ir1 0.0000 0.5000 0.0000  2 La 2.62

M_tot	0.1483	μB per atom
calculated volume	36.6	Å³ per atom
formation energy without anion corrections	-0.03	eV per atom


Entry 3:
The following is a PBE-GGA calculation of TlGe2P after structural relaxation, from Alexandria via LeMat-Bulk.

a = 4.9418 Å, b = 4.9418 Å, c = 4.9418 Å
α = 60.00°, β = 60.00°, γ = 60.00°
Last column: nearest neighbours and their distance in Å.
Positions (direct):
Ge1 0.7500 0.7500 0.7500  4 P 3.03, 4 Tl 3.03
Ge2 0.2500 0.2500 0.2500  4 Tl 3.03, 4 P 3.03
P1 0.0000 0.0000 0.0000  8 Ge 3.03
Tl1 0.5000 0.5000 0.5000  8 Ge 3.03

M_tot	0.0000	μB per atom
calculated volume	21.3	Å³ per atom
formation enthalpy at 0 K	0.515	eV/atom
energy relative to the lowest polymorph listed for this composition	1.288	eV per formula unit


Entry 4:
The following is a PBE-GGA calculation of CaCeAg4 after structural relaxation, from Alexandria via LeMat-Bulk.

a = 3.4027 Å, b = 4.9164 Å, c = 8.3537 Å
α = 90.00°, β = 90.00°, γ = 90.00°
Last column: nearest neighbours and their distance in Å.
Positions (direct):
Ag1 0.9999 0.0000 0.3336  3 Ag 2.78-2.82
Ag2 0.0001 0.5000 0.8307  3 Ag 2.82-2.83
Ag3 0.9999 0.5000 0.1693  3 Ag 2.82-2.83
Ag4 0.0001 0.0000 0.6664  3 Ag 2.78-2.82
Ce1 0.5000 0.0000 0.0000  12 Ag 3.27-3.31, 2 Ce 3.40
Ca1 0.5000 0.5000 0.5000  12 Ag 3.24-3.30, 2 Ca 3.40

M_tot	0.2526	μB per atom
calculated volume	23.3	Å³ per atom
formation enthalpy at 0 K	-0.191	eV/atom
energy relative to the lowest polymorph listed for this composition	0.000	eV per formula unit


Entry 5:
The following is a PBE-GGA calculation of La2CrCl after structural relaxation, from Alexandria via LeMat-Bulk.

a = 6.7954 Å, b = 6.7954 Å, c = 6.9300 Å
α = 60.64°, β = 60.64°, γ = 90.00°
Last column: nearest neighbours and their distance in Å.
Positions (direct):
La1 0.0346 0.6250 0.2500  2 Cr 2.37
La2 0.8750 0.9654 0.7500  2 Cr 2.37
La3 0.3750 0.2846 0.7500  2 Cr 2.37
La4 0.7154 0.1250 0.2500  2 Cr 2.37
Cl1 0.2500 0.7500 0.5000  4 La 3.13
Cl2 0.5000 0.5000 0.0000  4 La 3.13
Cr1 0.7500 0.2500 0.5000  4 La 2.37
Cr2 0.0000 0.0000 0.0000  4 La 2.37

M_tot	0.0000	μB per atom
calculated volume	28.8	Å³ per atom
energy relative to the lowest polymorph listed for this composition	1.310	eV per formula unit
formation energy without anion corrections	-0.13	eV per atom


Entry 6:
The following is a PBE-GGA calculation of TbHfU2N4 after structural relaxation, from Alexandria via LeMat-Bulk.

a = 3.3574 Å, b = 5.8611 Å, c = 5.9377 Å
α = 108.95°, β = 90.00°, γ = 90.00°
Last column: nearest neighbours and their distance in Å.
Positions (direct):
N1 0.5000 0.7712 0.7637  2 Hf 2.32, 3 U 2.37-2.49, 1 Tb 2.44
N2 0.5000 0.2288 0.2363  2 Hf 2.32, 3 U 2.37-2.49, 1 Tb 2.44
N3 0.0000 0.7683 0.2478  1 Hf 2.30, 3 U 2.36-2.50, 2 Tb 2.44
N4 0.0000 0.2317 0.7522  1 Hf 2.30, 3 U 2.36-2.50, 2 Tb 2.44
U1 0.0000 0.5000 0.5000  6 N 2.49-2.50
U2 0.5000 0.0000 0.5000  6 N 2.36-2.37
Tb1 0.5000 0.5000 0.0000  6 N 2.44
Hf1 0.0000 0.0000 0.0000  6 N 2.30-2.32

M_tot	0.3806	μB per atom
calculated volume	13.8	Å³ per atom
formation energy without anion corrections	-1.51	eV per atom